1.
Below is a geometry-optimized Dy3PdPt3 structure, with properties calculated at the PBE-GGA level.

Cell: 8.454 8.454 8.454 Å, 90.00 90.00 90.00°
Space group P2_13 (No. 198)
Asymmetric unit:
Dy (0.003, 0.264, 0.877) x12
Pd (0.078, 0.422, 0.578) x4
Pt (0.097, 0.597, 0.903) x4
Pt (0.162, 0.162, 0.162) x4
Pt (0.167, 0.833, 0.333) x4

## Properties
Magnetization = 0.0 μB per cell
Energy relative to the elements = -1.075 eV/atom

=====

2.
Below is a geometry-optimized DyPdPt structure, with properties calculated at the PBE-GGA level.

Cell: 4.4700 4.4700 3.5743 Å, 90.00 90.00 120.00°
Space group P-6m2 (No. 187)
Asymmetric unit:
Dy (0.0000, 0.0000, 0.0000) x1
Pd (0.3333, 0.6667, 0.5000) x1
Pt (0.6667, 0.3333, 0.5000) x1

## Properties
Magnetization = 0.0 μB per cell
Polymorph energy (0 for the lowest one) = 170.7 meV per atom
Energy relative to the elements = -0.857 eV/atom

=====

3.
Below is a geometry-optimized DyPd4Pt5 structure, with properties calculated at the PBE-GGA level.

Cell: 8.151 9.321 4.709 Å, 90.00 90.00 90.00°
Space group Pmmn (No. 59, origin choice 2)
Asymmetric unit:
Dy (0.250, 0.250, 0.075) x2
Pd (0.058, 0.750, 0.610) x4
Pd (0.250, 0.505, 0.742) x4
Pt (0.079, 0.513, 0.248) x8
Pt (0.250, 0.750, 0.093) x2

## Properties
Magnetization = 0.0 μB per cell
Energy relative to the elements = -0.284 eV/atom